No. 1
Material: Rb3CdCl
Method: DFT, PBE-GGA
State: relaxed

Cell and atoms, written as extended XYZ:
```
5
Lattice="6.4329 0.0000 0.0000 0.0000 6.4329 0.0000 0.0000 0.0000 6.4329" Properties=species:S:1:pos:R:3 pbc="T T T"
Cl 0.0000 0.0000 0.0000
Rb 0.0000 3.2165 0.0000
Rb 0.0000 0.0000 3.2165
Rb 3.2165 0.0000 0.0000
Cd 3.2165 3.2165 3.2165
```

Results
D(E_F), states/eV/cell: 3.74
SG: Pm-3m
Distance to the lowest polymorph of the same formula, kJ/mol of formula units: 0.0
Size of the total moment, μB/cell: 0.000
Formation energy from raw total energies, eV per formula unit: -3.405

---

No. 2
Material: Be3TlPd
Method: DFT, PBE-GGA
State: relaxed

Cell and atoms, written as extended XYZ:
```
5
Lattice="4.4608 0.0000 0.0000 0.0000 4.4608 0.0000 0.0000 0.0000 4.4608" Properties=species:S:1:pos:R:3 pbc="T T T"
Be 0.0000 2.2304 0.0000
Be 0.0000 0.0000 2.2304
Be 2.2304 0.0000 0.0000
Tl 0.0000 0.0000 0.0000
Pd 2.2304 2.2304 2.2304
```

Results
D(E_F), states/eV/cell: 1.17
SG: Pm-3m
Distance to the lowest polymorph of the same formula, kJ/mol of formula units: 381.0
Size of the total moment, μB/cell: 0.000
Calculated formation energy, eV per formula unit: 5.95

---

No. 3
Material: CeEr5Sb6
Method: DFT, PBE-GGA
State: relaxed

Cell and atoms, written as extended XYZ:
```
12
Lattice="7.5835 0.2070 0.0000 2.3340 7.2091 0.0000 1.1670 3.6046 6.5668" Properties=species:S:1:pos:R:3 pbc="T T T"
Ce 0.0000 0.0000 0.0000
Er 4.9587 3.7081 4.4038
Er 1.1670 3.6046 2.1963
Er 4.9587 3.7081 0.0000
Er 2.3340 7.2091 4.3705
Er 6.1257 7.3126 2.1630
Sb 6.2526 1.9801 2.2148
Sb 3.6649 5.4360 2.2148
Sb 2.4950 1.8828 0.0000
Sb 7.4224 5.5333 0.0000
Sb 7.4195 5.5847 4.3520
Sb 4.8318 9.0406 4.3520
```

Results
D(E_F), states/eV/cell: 6.47
SG: C2/m
Size of the total moment, μB/cell: 0.643
Formation energy from raw total energies, eV per formula unit: -13.029

---

No. 4
Material: NbGaSeN2
Method: DFT, PBE-GGA
State: relaxed

Cell and atoms, written as extended XYZ:
```
5
Lattice="3.8457 0.0000 0.0000 0.0000 3.8457 0.0000 0.0000 0.0000 4.9566" Properties=species:S:1:pos:R:3 pbc="T T T"
Nb 1.9228 1.9228 2.4783
Ga 0.0000 0.0000 0.0000
Se 0.0000 0.0000 2.4783
N 0.0000 1.9228 0.0000
N 1.9228 0.0000 0.0000
```

Results
D(E_F), states/eV/cell: 4.43
SG: P4/mmm
Distance to the lowest polymorph of the same formula, kJ/mol of formula units: 437.9
Size of the total moment, μB/cell: 0.000
Formation energy from raw total energies, eV per formula unit: 5.524

---

No. 5
Material: MgSiOs2
Method: DFT, PBE-GGA
State: relaxed

Cell and atoms, written as extended XYZ:
```
4
Lattice="-3.4817 -1.8072 -3.0831 2.9160 -3.2127 2.5252 -1.5860 -0.8911 2.1091" Properties=species:S:1:pos:R:3 pbc="T T T"
Mg -0.2828 -2.5099 -0.2790
Os 0.0000 0.0000 0.0000
Os -2.5338 -1.3492 -0.4870
Si 0.6650 -2.0519 2.3172
```

Results
D(E_F), states/eV/cell: 2.85
SG: C2/m
Size of the total moment, μB/cell: 0.000
Formation energy from raw total energies, eV per formula unit: 0.770

---

No. 6
Material: ThTlBi2
Method: DFT, PBE-GGA
State: relaxed

Cell and atoms, written as extended XYZ:
```
4
Lattice="4.5455 0.0000 0.0000 2.2727 3.9365 0.0000 2.2727 1.3122 8.3167" Properties=species:S:1:pos:R:3 pbc="T T T"
Tl 4.5455 2.6243 4.1584
Bi 2.2727 1.3122 1.9193
Bi 6.8182 3.9365 6.3974
Th 0.0000 0.0000 0.0000
```

Results
D(E_F), states/eV/cell: 4.12
SG: R-3m
Distance to the lowest polymorph of the same formula, kJ/mol of formula units: 69.2
Size of the total moment, μB/cell: 0.000
Calculated formation energy, eV per formula unit: -0.67

---

No. 7
Material: NbCuNi2
Method: DFT, PBE-GGA
State: relaxed

Cell and atoms, written as extended XYZ:
```
4
Lattice="3.0482 0.0000 0.0000 0.0000 3.0482 0.0000 0.0000 0.0000 5.6110" Properties=species:S:1:pos:R:3 pbc="T T T"
Ni 0.0000 0.0000 4.3372
Ni 0.0000 0.0000 1.2738
Nb 1.5241 1.5241 2.8055
Cu 1.5241 1.5241 0.0000
```

Results
D(E_F), states/eV/cell: 4.61
SG: P4/mmm
Size of the total moment, μB/cell: 0.000
Calculated formation energy, eV per formula unit: -0.27

---

No. 8
Material: V4Ga2Ru
Method: DFT, PBE-GGA
State: relaxed

Cell and atoms, written as extended XYZ:
```
7
Lattice="-1.5096 2.1059 3.6986 -4.0202 -1.9941 -0.5055 -0.7272 -4.9913 5.3021" Properties=species:S:1:pos:R:3 pbc="T T T"
Ru 0.0000 0.0000 0.0000
Ga -2.2621 -1.1896 2.5110
Ga -3.9950 -3.6899 5.9842
V -1.4639 -3.1667 3.9625
V -4.7932 -1.7128 4.5327
V -2.0101 -0.9970 -0.2527
V -0.7548 1.0530 1.8493
```

Results
D(E_F), states/eV/cell: 8.01
SG: I4/mmm
Size of the total moment, μB/cell: 2.309
Calculated formation energy, eV per formula unit: 5.44